# MgV4P4O20 PBE with a Hubbard U optimized geometry
data_MgV4P4O20
_cell_length_a 5.1781
_cell_length_b 7.4242
_cell_length_c 10.2134
_cell_angle_alpha 70.28
_cell_angle_beta 78.79
_cell_angle_gamma 69.72
_space_group_name_H-M_alt 'P 1'
_space_group_IT_number 1
loop_
_space_group_symop_operation_xyz
'x,y,z'
loop_
_atom_site_label
_atom_site_type_symbol
_atom_site_fract_x
_atom_site_fract_y
_atom_site_fract_z
Mg1 Mg 0.0000 0.0000 0.0000
V1 V 0.2441 0.5366 0.1949
V2 V 0.2767 0.3220 0.9377
V3 V 0.3186 0.0820 0.6733
V4 V 0.8031 0.7967 0.4443
P1 P 0.5761 0.8637 0.1551
P2 P 0.6692 0.3809 0.6489
P3 P 0.8883 0.2488 0.2484
P4 P 0.9273 0.7834 0.7530
O1 O 0.0621 0.6441 0.3725
O2 O 0.1016 0.3119 0.2950
O3 O 0.1027 0.8928 0.7890
O4 O 0.2052 0.1711 0.8586
O5 O 0.3369 0.4764 0.0420
O6 O 0.3412 0.8045 0.1227
O7 O 0.4338 0.9898 0.5404
O8 O 0.4826 0.2956 0.6007
O9 O 0.5435 0.8546 0.3105
O10 O 0.5701 0.0769 0.0548
O11 O 0.5978 0.3601 0.8057
O12 O 0.6027 0.4005 0.2640
O13 O 0.6198 0.9026 0.7825
O14 O 0.6275 0.6032 0.5645
O15 O 0.8744 0.7390 0.1159
O16 O 0.8825 0.0375 0.3456
O17 O 0.9742 0.2640 0.6168
O18 O 0.9789 0.7857 0.5976
O19 O 0.9800 0.2292 0.0978
O20 O 0.9915 0.5687 0.8487
# **Size of the total moment**: 0.069 μB/atom
# **Energy relative to the lowest polymorph listed for this composition**: 0.00 eV per formula unit
# **Final energy**: -7.353 eV per atom